A plane-wave DFT calculation with PBE+U was carried out for an optimized crystal structure of LiY2MoO6.

Summary:
Fermi-level density of states: 0.00 states/eV/atom
DFT total energy: -78.254 eV per cell
crystal system: triclinic
total magnetic moment: 1.0 μB per cell

The structure in CIF format:
```
data_LiY2MoO6
_cell_length_a 5.540
_cell_length_b 5.576
_cell_length_c 5.926
_cell_angle_alpha 61.85
_cell_angle_beta 62.93
_cell_angle_gamma 60.21
_space_group_name_H-M_alt 'P 1'
_space_group_IT_number 1
_space_group_name_Hall 'P 1'
loop_
_atom_site_label
_atom_site_fract_x
_atom_site_fract_y
_atom_site_fract_z
Y1 0.531 0.532 0.420
Y2 0.030 0.015 0.928
Mo1 0.323 0.321 0.035
O1 0.685 0.115 0.768
O2 0.964 0.580 0.231
O3 0.574 0.235 0.220
O4 0.125 0.425 0.770
O5 0.430 0.693 0.756
O6 0.216 0.965 0.233
Li1 0.786 0.782 0.655
```